Computed, not measured: crystalline Ru2AuCCl at its relaxed geometry at the GGA-PBE level of DFT.

DOS(E_F) = 4.57 states/eV/cell
E_tot = -5.63 eV/atom

POSCAR file:
```
Ru2AuCCl
1.0
4.132 0.000 0.000
0.000 4.132 0.000
0.000 0.000 4.509
Ru Au C Cl
2 1 1 1
Direct
0.000 0.500 0.000
0.500 0.000 0.000
0.000 0.000 0.500
0.000 0.000 0.000
0.500 0.500 0.500
```